1.
Here is crystalline Ho3ZnNi3 at its relaxed geometry from Alexandria via LeMat-Bulk. Energies are from PBE.

Computed properties:
Total moment (μB/f.u.): 0.000

Unit cell a=4.1470 b=9.7707 c=12.9556 alpha=90.00 beta=90.00 gamma=90.00
Closest atoms and distances in Å follow each position.
Space group Cmcm (No. 63)
Asymmetric unit:
Ho (0.0000, 0.0136, 0.2500)  7 Ni 2.85-3.01
Ho (0.0000, 0.2951, 0.1041)  6 Ni 2.78-2.93
Zn (0.0000, 0.0000, 0.0000)  4 Ni 2.52
Ni (0.0000, 0.2781, 0.7500)  2 Ni 2.46
Ni (0.0000, 0.4158, 0.5906)  1 Ni 2.46, 2 Zn 2.52

=====

2.
Here is crystalline Ho3ZnNi3 at its relaxed geometry from Alexandria via LeMat-Bulk. Energies are from PBE.

Computed properties:
Total moment (μB/f.u.): 0.000

Unit cell a=8.7283 b=8.7283 c=4.2308 alpha=90.00 beta=90.00 gamma=120.00
Closest atoms and distances in Å follow each position.
Space group P6_3/m (No. 176)
Asymmetric unit:
Ho (0.0809, 0.3956, 0.2500)  4 Ni 2.71-2.77
Zn (0.3333, 0.6667, 0.7500)  9 Ho 3.12-3.38
Ni (0.0321, 0.1759, 0.7500)  6 Ni 2.45-2.55, 3 Ho 2.71-2.74

=====

Q: Which of them is the least stable? A: 2.

=====

1.
Here is crystalline Ho2ZnNi3 at its relaxed geometry from Alexandria via LeMat-Bulk. Energies are from PBE.

Computed properties:
Total moment (μB/f.u.): 0.000

Unit cell a=5.2435 b=5.2435 c=12.1675 alpha=90.00 beta=90.00 gamma=120.00
Closest atoms and distances in Å follow each position.
Space group R-3m (No. 166, hexagonal axes)
Asymmetric unit:
Ho (0.0000, 0.0000, 0.1260)  9 Ni 2.94-3.04, 4 Ho 3.07-3.19, 3 Zn 3.07
Zn (0.0000, 0.0000, 0.5000)  6 Ni 2.53
Ni (0.0000, 0.5000, 0.0000)  2 Zn 2.53, 4 Ni 2.62

=====

2.
Here is crystalline Ho2ZnNi3 at its relaxed geometry from Alexandria via LeMat-Bulk. Energies are from PBE.

Computed properties:
Total moment (μB/f.u.): 0.000

Unit cell a=7.2786 b=8.2373 c=14.1683 alpha=90.00 beta=90.00 gamma=90.00
Closest atoms and distances in Å follow each position.
Space group Fmmm (No. 69)
Asymmetric unit:
Ho (0.2468, 0.0000, 0.0000)  10 Ni 2.95-3.02, 2 Zn 2.99
Ho (0.2500, 0.2500, 0.2500)  8 Ni 2.99-3.00, 4 Zn 2.99
Zn (0.0000, 0.0000, 0.3337)  3 Ni 2.39-2.40
Ni (0.0000, 0.0000, 0.1650)  2 Ni 2.35, 1 Zn 2.39
Ni (0.0000, 0.2472, 0.0827)  2 Ni 2.34-2.35, 1 Zn 2.40

=====

Q: Which of them is the least stable? A: 2.

=====

1.
Here is crystalline HoZr2Ni at its relaxed geometry from Alexandria via LeMat-Bulk. Energies are from PBE.

Computed properties:
Total moment (μB/f.u.): 0.000

Unit cell a=6.2758 b=9.6152 c=5.7942 alpha=90.00 beta=90.00 gamma=90.00
Closest atoms and distances in Å follow each position.
Space group Pnma (No. 62)
Asymmetric unit:
Ho (0.0270, 0.2500, 0.1447)  2 Ni 2.74-2.83
Zr (0.1815, 0.0543, 0.6654)  2 Ni 2.62-2.64
Ni (0.1058, 0.7500, 0.3879)  4 Zr 2.62-2.64, 2 Ho 2.74-2.83

=====

2.
Here is crystalline HoZr2Ni at its relaxed geometry from Alexandria via LeMat-Bulk. Energies are from PBE.

Computed properties:
Total moment (μB/f.u.): 0.000

Unit cell a=4.0078 b=4.0078 c=20.5413 alpha=90.00 beta=90.00 gamma=120.00
Closest atoms and distances in Å follow each position.
Space group R3m (No. 160, hexagonal axes)
Asymmetric unit:
Ho (0.0000, 0.0000, 0.0000)  6 Zr 3.26-3.28, 1 Ni 3.47
Zr (0.0000, 0.0000, 0.2200)  3 Ni 2.58
Zr (0.0000, 0.0000, 0.4453)  3 Ni 2.55
Ni (0.0000, 0.0000, 0.8310)  6 Zr 2.55-2.58

=====

Q: Which of them is the least stable? A: 2.

=====

1.
Here is crystalline HoZrNi at its relaxed geometry from Alexandria via LeMat-Bulk. Energies are from PBE.

Computed properties:
Total moment (μB/f.u.): 0.000

Unit cell a=5.7491 b=9.1699 c=9.3897 alpha=90.00 beta=90.00 gamma=90.00
Closest atoms and distances in Å follow each position.
Space group Fmmm (No. 69)
Asymmetric unit:
Ho (0.0000, 0.1743, 0.0000)  4 Ni 2.84
Zr (0.0000, 0.0000, 0.3260)  4 Ni 2.80
Ni (0.2500, 0.2500, 0.2500)  4 Zr 2.80, 4 Ho 2.84, 2 Ni 2.87

=====

2.
Here is crystalline HoZrNi at its relaxed geometry from Alexandria via LeMat-Bulk. Energies are from PBE.

Computed properties:
Total moment (μB/f.u.): 0.503

Unit cell a=3.3295 b=3.3295 c=11.2876 alpha=90.00 beta=90.00 gamma=90.00
Closest atoms and distances in Å follow each position.
Space group I4mm (No. 107)
Asymmetric unit:
Ho (0.0000, 0.0000, 0.0000)  4 Ni 3.02, 5 Zr 3.25-3.36, 4 Ho 3.33
Zr (0.0000, 0.0000, 0.2880)  4 Ni 2.72
Ni (0.0000, 0.0000, 0.6671)  4 Zr 2.72, 4 Ho 3.02

=====

Q: Which of them is the least stable? A: 2.

=====

1.
Here is crystalline HoNpPt2 at its relaxed geometry from Alexandria via LeMat-Bulk. Energies are from PBE.

Computed properties:
Total moment (μB/f.u.): 3.610

Unit cell a=4.0950 b=4.0950 c=19.4691 alpha=90.00 beta=90.00 gamma=120.00
Closest atoms and distances in Å follow each position.
Space group R-3m (No. 166, hexagonal axes)
Asymmetric unit:
Ho (0.0000, 0.0000, 0.0000)  6 Pt 2.90
Np (0.0000, 0.0000, 0.5000)  6 Pt 2.83
Pt (0.0000, 0.0000, 0.2468)  3 Np 2.83, 3 Ho 2.90

=====

2.
Here is crystalline HoNpPt2 at its relaxed geometry from Alexandria via LeMat-Bulk. Energies are from PBE.

Computed properties:
Total moment (μB/f.u.): 4.141

Unit cell a=6.9827 b=6.9827 c=6.9827 alpha=90.00 beta=90.00 gamma=90.00
Closest atoms and distances in Å follow each position.
Space group Fm-3m (No. 225)
Asymmetric unit:
Ho (0.0000, 0.0000, 0.0000)  8 Pt 3.02
Np (0.0000, 0.0000, 0.5000)  8 Pt 3.02
Pt (0.2500, 0.2500, 0.2500)  4 Np 3.02, 4 Ho 3.02

=====

Q: Which of them is the least stable? A: 1.

=====

1.
Here is crystalline HoNpSn2 at its relaxed geometry from Alexandria via LeMat-Bulk. Energies are from PBE.

Computed properties:
Total moment (μB/f.u.): 4.848

Unit cell a=4.8887 b=4.8887 c=4.3749 alpha=90.00 beta=90.00 gamma=90.00
Closest atoms and distances in Å follow each position.
Space group P4/mmm (No. 123)
Asymmetric unit:
Ho (0.0000, 0.0000, 0.0000)  8 Sn 3.28, 4 Np 3.46
Np (0.5000, 0.5000, 0.0000)  8 Sn 3.28, 4 Ho 3.46
Sn (0.0000, 0.5000, 0.5000)  4 Ho 3.28, 4 Np 3.28, 4 Sn 3.46

=====

2.
Here is crystalline HoNpSn2 at its relaxed geometry from Alexandria via LeMat-Bulk. Energies are from PBE.

Computed properties:
Total moment (μB/f.u.): 4.186

Unit cell a=3.2857 b=3.2857 c=35.3810 alpha=90.00 beta=90.00 gamma=120.00
Closest atoms and distances in Å follow each position.
Space group R-3m (No. 166, hexagonal axes)
Asymmetric unit:
Ho (0.0000, 0.0000, 0.0000)  2 Sn 3.12, 6 Ho 3.29
Np (0.0000, 0.0000, 0.5000)  6 Np 3.29, 6 Sn 3.36
Sn (0.0000, 0.0000, 0.0882)  1 Ho 3.12, 6 Sn 3.29, 3 Np 3.36

=====

Q: Which of them is the least stable? A: 2.

=====

1.
Here is crystalline HoZr2Np at its relaxed geometry from Alexandria via LeMat-Bulk. Energies are from PBE.

Computed properties:
Total moment (μB/f.u.): 3.739

Unit cell a=3.7600 b=3.7600 c=7.0975 alpha=90.00 beta=90.00 gamma=90.00
Closest atoms and distances in Å follow each position.
Space group P4/mmm (No. 123)
Asymmetric unit:
Ho (0.0000, 0.0000, 0.0000)  8 Zr 3.36, 2 Np 3.55, 4 Ho 3.76
Zr (0.5000, 0.5000, 0.2891)  1 Zr 2.99, 4 Np 3.05
Np (0.0000, 0.0000, 0.5000)  8 Zr 3.05

=====

2.
Here is crystalline HoZr2Np at its relaxed geometry from Alexandria via LeMat-Bulk. Energies are from PBE.

Computed properties:
Total moment (μB/f.u.): 3.766

Unit cell a=3.2687 b=3.2687 c=32.2115 alpha=90.00 beta=90.00 gamma=120.00
Closest atoms and distances in Å follow each position.
Space group R-3m (No. 166, hexagonal axes)
Asymmetric unit:
Ho (0.0000, 0.0000, 0.0000)  6 Ho 3.27, 6 Zr 3.37
Zr (0.0000, 0.0000, 0.2467)  3 Np 3.19, 6 Zr 3.27, 3 Ho 3.37
Np (0.0000, 0.0000, 0.5000)  6 Zr 3.19, 6 Np 3.27

=====

Q: Which of them is the least stable? A: 1.

=====

1.
Here is crystalline Ho2PO at its relaxed geometry from Alexandria via LeMat-Bulk. Energies are from PBE.

Computed properties:
Total moment (μB/f.u.): 0.000

Unit cell a=3.7173 b=3.7173 c=17.9191 alpha=90.00 beta=90.00 gamma=120.00
Closest atoms and distances in Å follow each position.
Space group R-3m (No. 166, hexagonal axes)
Asymmetric unit:
Ho (0.0000, 0.0000, 0.2417)  3 O 2.53, 3 P 2.70
P (0.0000, 0.0000, 0.0000)  6 Ho 2.70
O (0.0000, 0.0000, 0.5000)  6 Ho 2.53

=====

2.
Here is crystalline Ho2PO at its relaxed geometry from Alexandria via LeMat-Bulk. Energies are from PBE.

Computed properties:
Total moment (μB/f.u.): 0.000

Unit cell a=3.7783 b=4.1029 c=10.2164 alpha=90.00 beta=90.00 gamma=90.00
Closest atoms and distances in Å follow each position.
Space group Pmmn (No. 59, origin choice 2)
Asymmetric unit:
Ho (0.2500, 0.2500, 0.1028)  4 O 2.23-2.25
Ho (0.2500, 0.7500, 0.3933)  5 P 2.81-2.86
P (0.2500, 0.7500, 0.6688)  7 Ho 2.81-3.00
O (0.2500, 0.7500, 0.0173)  4 Ho 2.23-2.25

=====

Q: Which of them is the least stable? A: 1.